Hf2ReBiBr | PBE | optimized geometry

Cell and atoms, written as extended XYZ:
```
5
Lattice="5.4853 0.0000 0.0000 0.0000 5.4853 0.0000 0.0000 0.0000 4.9723" Properties=species:S:1:pos:R:3 pbc="T T T"
Hf 0.0000 2.7426 0.0000
Hf 2.7426 0.0000 0.0000
Re 0.0000 0.0000 2.4861
Bi 0.0000 0.0000 0.0000
Br 2.7426 2.7426 2.4861
```

Properties
formation energy from raw total energies: 1.9317 eV/atom



Mg2TlGe2 | PBE | optimized geometry

Cell and atoms, written as extended XYZ:
```
5
Lattice="-2.3426 2.3426 5.4485 2.3426 -2.3426 5.4485 2.3426 2.3426 -5.4485" Properties=species:S:1:pos:R:3 pbc="T T T"
Mg 2.3426 0.0000 2.7243
Mg 0.0000 2.3426 2.7243
Tl 0.0000 0.0000 0.0000
Ge 0.0000 0.0000 4.2358
Ge 0.0000 0.0000 6.6613
```

Properties
energy of formation: -0.071 eV/atom



AcPm2Pa | PBE | optimized geometry

Cell and atoms, written as extended XYZ:
```
4
Lattice="3.5570 0.0000 0.0000 0.0000 3.5570 0.0000 0.0000 0.0000 10.7230" Properties=species:S:1:pos:R:3 pbc="T T T"
Ac 0.0000 0.0000 0.0000
Pm 1.7785 1.7785 3.0273
Pm 1.7785 1.7785 7.6957
Pa 0.0000 0.0000 5.3615
```

Properties
energy of formation: 0.191 eV/atom



TbCe2SmS4 | PBE | optimized geometry

Cell and atoms, written as extended XYZ:
```
8
Lattice="6.9144 0.0000 0.0000 0.0000 3.9846 0.0000 -2.2988 0.0000 6.5605" Properties=species:S:1:pos:R:3 pbc="T T T"
Tb 0.0000 0.0000 0.0000
Ce -1.1494 1.9923 3.2803
Ce 2.3078 0.0000 3.2803
Sm 3.4572 1.9923 0.0000
S 1.1294 1.9923 1.5910
S -0.0203 0.0000 4.9523
S 4.6359 0.0000 1.6082
S 3.4862 1.9923 4.9695
```

Properties
formation energy from raw total energies: -2.0371 eV/atom



BaBe3Ir | PBE | optimized geometry

Cell and atoms, written as extended XYZ:
```
5
Lattice="4.6805 0.0000 0.0000 0.0000 4.6805 0.0000 0.0000 0.0000 4.6805" Properties=species:S:1:pos:R:3 pbc="T T T"
Ba 0.0000 0.0000 0.0000
Be 0.0000 0.0000 2.3403
Be 0.0000 2.3403 0.0000
Be 2.3403 0.0000 0.0000
Ir 2.3403 2.3403 2.3403
```

Properties
energy of formation: 2.773 eV/atom
excess energy over the best structure of this formula in the dataset: 2872 meV per atom



NpTl2SiS4 | PBE | optimized geometry

Cell and atoms, written as extended XYZ:
```
16
Lattice="-4.1086 4.1431 5.7893 4.1086 -4.1431 5.7893 4.1086 4.1431 -5.7893" Properties=species:S:1:pos:R:3 pbc="T T T"
Np 0.0000 0.0000 0.0000
Np 0.0000 4.1431 0.0000
Tl 4.1086 0.0000 0.0000
Tl -2.0543 2.0715 2.8946
Tl 0.0000 0.0000 5.7893
Tl 2.0543 2.0715 2.8946
Si 2.0543 2.0715 -2.8946
Si 2.0543 -2.0715 2.8946
S 4.1086 3.7839 -3.1204
S 1.7669 2.0715 -0.2926
S 2.3417 -2.0715 5.4966
S 4.1086 -0.3591 3.1204
S 0.0000 4.5022 2.6688
S 1.7669 6.2146 0.2926
S 2.3417 2.0715 6.0819
S 0.0000 0.3591 8.9097
```

Properties
formation energy from raw total energies: -0.5696 eV/atom



LiLaPb2 | PBE | optimized geometry

Cell and atoms, written as extended XYZ:
```
4
Lattice="4.9086 0.0000 0.0000 0.0000 4.9086 0.0000 0.0000 0.0000 4.6754" Properties=species:S:1:pos:R:3 pbc="T T T"
Li 0.0000 0.0000 0.0000
La 2.4543 2.4543 0.0000
Pb 0.0000 2.4543 2.3377
Pb 2.4543 0.0000 2.3377
```

Properties
energy of formation: -0.469 eV/atom



K4Pu3PbO12 | PBE | optimized geometry

Cell and atoms, written as extended XYZ:
```
20
Lattice="-4.3528 4.3528 4.3528 4.3528 -4.3528 4.3528 4.3528 4.3528 -4.3528" Properties=species:S:1:pos:R:3 pbc="T T T"
K 2.1764 2.1764 -2.1764
K 2.1764 -2.1764 2.1764
K -2.1764 2.1764 2.1764
K 2.1764 2.1764 2.1764
Pu 4.3528 0.0000 0.0000
Pu 0.0000 4.3528 0.0000
Pu 0.0000 0.0000 4.3528
Pb 0.0000 0.0000 0.0000
O 2.4290 0.0000 0.0000
O 6.2766 0.0000 0.0000
O 4.3528 2.1764 0.0000
O 4.3528 0.0000 2.1764
O 0.0000 2.4290 0.0000
O 0.0000 0.0000 2.4290
O 2.1764 4.3528 0.0000
O 2.1764 0.0000 4.3528
O 0.0000 6.2766 0.0000
O 0.0000 0.0000 6.2766
O 0.0000 4.3528 2.1764
O 0.0000 2.1764 4.3528
```

Properties
formation energy from raw total energies: -2.2822 eV/atom



LiAgMo2Au | PBE | optimized geometry

Cell and atoms, written as extended XYZ:
```
5
Lattice="4.2654 0.0000 0.0000 0.0000 4.2654 0.0000 0.0000 0.0000 4.3996" Properties=species:S:1:pos:R:3 pbc="T T T"
Li 0.0000 0.0000 0.0000
Ag 2.1327 2.1327 2.1998
Mo 0.0000 2.1327 0.0000
Mo 2.1327 0.0000 0.0000
Au 0.0000 0.0000 2.1998
```

Properties
energy of formation: 1.181 eV/atom



La2InGa4Ir3 | PBE | optimized geometry

Cell and atoms, written as extended XYZ:
```
10
Lattice="4.2645 0.0000 0.0000 0.0000 4.2645 0.0000 0.0000 0.0000 11.1059" Properties=species:S:1:pos:R:3 pbc="T T T"
La 0.0000 2.1323 2.6253
La 2.1323 0.0000 8.4805
In 0.0000 0.0000 5.5529
Ga 0.0000 0.0000 0.0000
Ga 0.0000 2.1323 7.1760
Ga 2.1323 0.0000 3.9299
Ga 2.1323 2.1323 0.0000
Ir 0.0000 2.1323 9.6895
Ir 2.1323 0.0000 1.4163
Ir 2.1323 2.1323 5.5529
```

Properties
energy of formation: -0.620 eV/atom



PrHo3In4 | PBE | optimized geometry

Cell and atoms, written as extended XYZ:
```
16
Lattice="10.8115 0.0000 0.0000 0.0000 7.2619 0.0000 0.0000 0.0000 5.5260" Properties=species:S:1:pos:R:3 pbc="T T T"
Pr 0.0000 0.0000 0.0000
Pr 5.4057 0.0000 0.0000
Ho 0.0000 3.6310 0.0000
Ho 2.7029 0.0000 2.3840
Ho 2.7029 3.6310 2.3119
Ho 5.4057 3.6310 0.0000
Ho 8.1086 0.0000 3.1420
Ho 8.1086 3.6310 3.2141
In 0.0000 1.8875 2.7630
In 0.0000 5.3745 2.7630
In 2.7029 1.8837 5.0492
In 2.7029 5.3782 5.0492
In 5.4057 1.8875 2.7630
In 5.4057 5.3745 2.7630
In 8.1086 1.8837 0.4768
In 8.1086 5.3782 0.4768
```

Properties
energy of formation: -0.458 eV/atom



ZrGaRh3 | PBE | optimized geometry

Cell and atoms, written as extended XYZ:
```
5
Lattice="4.4901 0.0000 0.0000 0.0000 4.4901 0.0000 0.0000 0.0000 4.4901" Properties=species:S:1:pos:R:3 pbc="T T T"
Zr 0.0000 0.0000 0.0000
Ga 2.2451 2.2451 2.2451
Rh 0.0000 2.2451 2.2451
Rh 2.2451 0.0000 2.2451
Rh 2.2451 2.2451 0.0000
```

Properties
energy of formation: 0.016 eV/atom
excess energy over the best structure of this formula in the dataset: 0 meV per atom



Q: Which V values were calculated for the entries above? A: 149.6, 119.6, 135.7, 180.8, 102.5, 197.1, 112.7, 329.9, 80.0, 202.0, 216.9, 90.5, in Å³/f.u..
Q: Which size of the total moment values were calculated for the entries above? A: 0.0, 0.0, 0.0, 1.6, 1.0, 6.1, 0.0, 6.0, 0.0, 0.0, 0.0, 0.0, in μB/cell.
Q: Which DOS(E_F) values were calculated for the entries above? A: 1.81, 0.31, 1.48, 1.37, 1.35, 1.07, 0.32, 0.19, 0.87, 0.83, 0.59, 0.01, in states/eV/atom.